12
Lattice="2.737 1.580 8.268 -2.737 1.580 8.268 0.000 -3.160 8.268" Properties=species:S:1:pos:R:3 comment="CsTiFe2F8 (PBE with a Hubbard U, relaxed)" magnetic_moment_mub_per_fu=7.00 dos_ef_per_ev_cell=13.3 rho_kg_m3=3440 e_tot_ev_per_atom=-5.466 pbc="T T T"
Cs 0.000 0.000 0.000
Ti 0.000 0.000 12.402
Fe 0.000 0.000 5.926
Fe 0.000 0.000 18.878
F -1.609 -0.053 11.278
F -0.758 -1.420 13.526
F 0.000 0.000 7.831
F 0.850 -1.367 11.278
F -0.850 1.367 13.526
F 0.000 0.000 16.972
F 0.758 1.420 11.278
F 1.609 0.053 13.526